Record 1
A relaxed RbBaCa4 crystal, computed with GGA-PBE.

Unit cell a=7.656 b=7.656 c=7.656 alpha=60.00 beta=60.00 gamma=60.00
Sites, in units of the cell vectors:
Ba1 0.000 0.000 0.000
Rb1 0.250 0.250 0.250
Ca1 0.626 0.626 0.626
Ca2 0.626 0.626 0.123
Ca3 0.626 0.123 0.626
Ca4 0.123 0.626 0.626

E_form (meV/atom): 114

=====

Record 2
A relaxed Zn2GaPd3 crystal, computed with GGA-PBE.

Unit cell a=4.349 b=4.349 c=5.339 alpha=90.00 beta=90.00 gamma=120.00
Sites, in units of the cell vectors:
Zn1 0.333 0.667 0.657
Pd1 0.333 0.667 0.159
Ga1 0.000 0.000 0.000
Zn2 0.667 0.333 0.343
Pd2 0.000 0.000 0.500
Pd3 0.667 0.333 0.841

E_form (meV/atom): -569

=====

Record 3
A relaxed Pm8Pr5Cd crystal, computed with GGA-PBE.

Unit cell a=8.609 b=8.606 c=8.614 alpha=110.00 beta=108.46 gamma=109.95
Sites, in units of the cell vectors:
Pm1 0.651 0.398 0.917
Pm2 0.519 0.602 0.253
Pm3 0.338 0.279 0.446
Pr1 0.292 0.111 0.985
Pm4 0.167 0.721 0.059
Pm5 0.554 0.892 0.833
Pr2 0.874 0.889 0.182
Pr3 0.819 0.693 0.708
Cd1 0.250 0.500 0.750
Pm6 0.941 0.108 0.662
Pr4 0.500 0.000 0.500
Pm7 0.747 0.266 0.349
Pr5 0.015 0.307 0.126
Pm8 0.083 0.734 0.481

E_form (meV/atom): 183

=====

Record 4
A relaxed LaNd2Y crystal, computed with GGA-PBE.

Unit cell a=3.673 b=3.673 c=12.170 alpha=81.32 beta=81.32 gamma=60.00
Sites, in units of the cell vectors:
Nd1 0.081 0.081 0.756
Nd2 0.252 0.252 0.243
Y1 0.667 0.667 0.000
La1 0.500 0.500 0.501

E_form (meV/atom): 17

=====

Record 5
A relaxed Nd3Th3UN8 crystal, computed with GGA-PBE.

Unit cell a=7.264 b=7.264 c=7.216 alpha=120.22 beta=90.00 gamma=120.00
Sites, in units of the cell vectors:
N1 0.771 0.988 0.706
Nd1 0.000 0.000 0.000
N2 0.229 0.012 0.294
N3 0.255 0.510 0.265
N4 0.745 0.490 0.735
N5 0.218 0.435 0.706
Nd2 0.500 0.500 0.000
N6 0.782 0.565 0.294
U1 0.000 0.000 0.500
N7 0.218 0.988 0.706
N8 0.782 0.012 0.294
Th1 0.500 0.500 0.500
Nd3 0.000 0.500 0.000
Th2 0.000 0.500 0.500
Th3 0.500 0.000 0.500

Raw formation energy (meV/atom): -1440

=====

Record 6
A relaxed BeNbIN2 crystal, computed with GGA-PBE.

Unit cell a=3.833 b=3.833 c=4.727 alpha=90.00 beta=90.00 gamma=90.00
Sites, in units of the cell vectors:
N1 0.000 0.500 0.000
I1 0.000 0.000 0.500
N2 0.500 0.000 0.000
Be1 0.000 0.000 0.000
Nb1 0.500 0.500 0.500

Raw formation energy (meV/atom): 1478

=====

Record 7
A relaxed ZnOsRu2 crystal, computed with GGA-PBE.

Unit cell a=4.678 b=4.678 c=4.690 alpha=81.36 beta=81.36 gamma=33.75
Sites, in units of the cell vectors:
Os1 0.250 0.250 0.250
Ru1 0.994 0.994 0.002
Ru2 0.506 0.506 0.498
Zn1 0.750 0.750 0.750

E_form (meV/atom): 187

=====

Record 8
A relaxed La2Tm5Bi3C2 crystal, computed with GGA-PBE.

Unit cell a=4.836 b=4.836 c=13.666 alpha=100.19 beta=100.19 gamma=90.00
Sites, in units of the cell vectors:
Bi1 0.824 0.824 0.648
Bi2 0.176 0.176 0.352
C1 0.409 0.409 0.818
C2 0.591 0.591 0.182
Tm1 0.591 0.091 0.182
Tm2 0.091 0.591 0.182
Tm3 0.409 0.909 0.818
Tm4 0.500 0.500 0.000
Tm5 0.909 0.409 0.818
La1 0.694 0.694 0.387
Bi3 0.000 0.000 0.000
La2 0.306 0.306 0.613

E_form (meV/atom): -682

=====

| no. | volume (Å³ per atom) | M_tot (μB per cell) | electronic total energy (eV for the cell shown) |
| --- | --- | --- | --- |
| 1 | 52.90 | 0.0 | -10.21 |
| 2 | 14.58 | 0.0 | -24.57 |
| 3 | 35.09 | 0.0 | -60.26 |
| 4 | 34.99 | 0.0 | -20.86 |
| 5 | 17.89 | 0.0 | -136.06 |
| 6 | 13.89 | 0.0 | -24.60 |
| 7 | 14.08 | 0.0 | -30.31 |
| 8 | 25.79 | 0.0 | -70.49 |